one.
Here is crystalline BC2 at its relaxed geometry from the Alexandria database. Energies are from PBE.

a b c (Å): 2.559 4.678 6.403
angles (deg): 89.08 90.00 90.00
Sites, in units of the cell vectors:
1 B 0.500 0.493 0.955
2 B 0.000 0.643 0.671
3 B 0.500 0.545 0.264
4 B 0.000 0.314 0.343
5 C 0.000 0.996 0.000
6 C 0.500 0.151 0.914
7 C 0.500 0.861 0.334
8 C 0.000 0.677 0.937
9 C 0.000 0.007 0.244
10 C 0.500 0.848 0.575
11 C 0.500 0.149 0.670
12 C 0.000 0.314 0.592

Computed properties:
Its space-group type is Pm (6). As for the crystal system: monoclinic. For the density of states at the Fermi level, the calculation gives 0.5 states/eV/f.u.

---

two.
Here is crystalline BC2 at its relaxed geometry from the Alexandria database. Energies are from PBE.

a b c (Å): 6.026 6.026 3.610
angles (deg): 90.49 90.49 144.08
Sites, in units of the cell vectors:
1 B 0.819 0.135 0.480
2 B 0.979 0.521 0.750
3 B 0.365 0.681 0.020
4 B 0.835 0.665 0.250
5 C 0.490 0.490 0.507
6 C 0.010 0.010 0.993
7 C 0.333 0.167 0.750
8 C 0.488 0.012 0.250
9 C 0.676 0.824 0.750
10 C 0.176 0.324 0.250
11 C 0.643 0.315 0.998
12 C 0.185 0.857 0.502

Computed properties:
Its space-group type is C2 (5). As for the crystal system: monoclinic. For the density of states at the Fermi level, the calculation gives 0.7 states/eV/f.u.

---

two is the most stable structure shown above.